No. 1
The following is a DFT calculation (PBE) of LuNb2Ge2Sb after structural relaxation.

Calculated values
Density = 8.11 Mg/m³
Space group = P4mm (99)
Uncorrected energy = -6.632 eV/atom

Lattice parameters (Å, degrees): 4.065 4.065 7.775 90.00 90.00 90.00
Fractional positions:
Ge 0.500 0.500 0.759
Ge 0.000 0.000 0.271
Nb 0.000 0.500 0.005
Nb 0.500 0.000 0.005
Sb 0.500 0.500 0.302
Lu 0.000 0.000 0.658

---

No. 2
The following is a DFT calculation (PBE) of Gd2Re after structural relaxation.

Calculated values
Density = 11.82 Mg/m³
Space group = Fd-3m (227)
Uncorrected energy = -5.902 eV/atom
E_form = 1.342 eV/atom

Lattice parameters (Å, degrees): 5.838 5.838 5.838 60.00 60.00 60.00
Fractional positions:
Gd 0.625 0.625 0.625
Gd 0.625 0.125 0.625
Gd 0.625 0.625 0.125
Gd 0.125 0.625 0.625
Re 0.250 0.250 0.250
Re 0.000 0.000 0.000

---

No. 3
The following is a DFT calculation (PBE) of Rb2InReS6 after structural relaxation.

Calculated values
Density = 4.28 Mg/m³
Space group = C2/m (12)
Uncorrected energy = -4.405 eV/atom

Lattice parameters (Å, degrees): 8.332 8.332 4.909 91.83 91.83 49.14
Fractional positions:
In 0.000 0.000 0.000
S 0.639 0.178 0.321
S 0.361 0.822 0.679
S 0.866 0.866 0.690
S 0.178 0.639 0.321
S 0.822 0.361 0.679
S 0.134 0.134 0.310
Rb 0.289 0.289 0.824
Rb 0.711 0.711 0.176
Re 0.500 0.500 0.500

---

No. 4
The following is a DFT calculation (PBE) of BaNb8P4 after structural relaxation.

Calculated values
Density = 6.45 Mg/m³
Space group = I4/m (87)
Uncorrected energy = -8.459 eV/atom

Lattice parameters (Å, degrees): 8.288 8.288 8.288 93.34 93.34 152.07
Fractional positions:
Ba 0.000 0.000 0.000
P 0.747 0.566 0.313
P 0.253 0.434 0.687
P 0.434 0.747 0.182
P 0.566 0.253 0.818
Nb 0.672 0.781 0.452
Nb 0.032 0.365 0.398
Nb 0.328 0.219 0.548
Nb 0.968 0.635 0.602
Nb 0.635 0.032 0.667
Nb 0.781 0.328 0.109
Nb 0.365 0.968 0.333
Nb 0.219 0.672 0.891

---

No. 5
The following is a DFT calculation (PBE) of BaNbPO after structural relaxation.

Calculated values
Density = 4.95 Mg/m³
Energy above the lowest structure with this stoichiometry = 686.1 meV/atom
Space group = P4/nmm (129)
Uncorrected energy = -6.248 eV/atom

Lattice parameters (Å, degrees): 4.416 4.416 9.543 90.00 90.00 90.00
Fractional positions:
Nb 0.250 0.250 0.976
Nb 0.750 0.750 0.024
O 0.250 0.750 0.000
O 0.750 0.250 0.000
P 0.250 0.250 0.736
P 0.750 0.750 0.264
Ba 0.250 0.750 0.500
Ba 0.750 0.250 0.500

---

No. 6
The following is a DFT calculation (PBE) of CsGaPt after structural relaxation.

Calculated values
Density = 7.03 Mg/m³
Energy above the lowest structure with this stoichiometry = 0.0 meV/atom
Space group = F-43m (216)
Uncorrected energy = -2.907 eV/atom

Lattice parameters (Å, degrees): 5.103 5.103 5.103 60.00 60.00 60.00
Fractional positions:
Pt 0.750 0.750 0.750
Cs 0.250 0.250 0.250
Ga 0.000 0.000 0.000

---

No. 7
The following is a DFT calculation (PBE) of Pr6Fe13Ag after structural relaxation.

Calculated values
Density = 7.48 Mg/m³
Space group = I4/mcm (140)
Uncorrected energy = -6.981 eV/atom
E_form = -0.007 eV/atom

Lattice parameters (Å, degrees): 12.903 12.903 12.903 143.77 143.77 52.16
Fractional positions:
Fe 0.933 0.210 0.143
Fe 0.620 0.120 0.858
Fe 0.292 0.019 0.500
Fe 0.981 0.481 0.273
Fe 0.019 0.519 0.727
Fe 0.762 0.620 0.500
Fe 0.067 0.790 0.857
Fe 0.790 0.933 0.723
Fe 0.262 0.762 0.142
Fe 0.500 0.000 0.500
Fe 0.238 0.380 0.500
Fe 0.208 0.708 0.727
Fe 0.710 0.433 0.143
Fe 0.290 0.567 0.857
Fe 0.380 0.880 0.142
Fe 0.738 0.238 0.858
Fe 0.210 0.067 0.277
Fe 0.120 0.262 0.500
Fe 0.000 0.500 0.500
Fe 0.880 0.738 0.500
Fe 0.792 0.292 0.273
Fe 0.708 0.981 0.500
Fe 0.481 0.208 0.500
Fe 0.567 0.710 0.277
Fe 0.433 0.290 0.723
Fe 0.519 0.792 0.500
Pr 0.607 0.607 0.000
Pr 0.348 0.524 0.500
Pr 0.652 0.476 0.500
Pr 0.476 0.976 0.825
Pr 0.393 0.393 0.000
Pr 0.976 0.152 0.500
Pr 0.152 0.652 0.175
Pr 0.107 0.107 0.000
Pr 0.893 0.893 0.000
Pr 0.024 0.848 0.500
Pr 0.848 0.348 0.825
Pr 0.524 0.024 0.175
Ag 0.250 0.250 0.000
Ag 0.750 0.750 0.000

---

No. 8
The following is a DFT calculation (PBE) of GdPPdO after structural relaxation.

Calculated values
Density = 7.92 Mg/m³
Energy above the lowest structure with this stoichiometry = 0.0 meV/atom
Space group = P4/nmm (129)
Uncorrected energy = -6.933 eV/atom

Lattice parameters (Å, degrees): 4.067 4.067 7.875 90.00 90.00 90.00
Fractional positions:
O 0.500 0.500 0.000
O 0.000 0.000 0.000
P 0.500 0.000 0.337
P 0.000 0.500 0.663
Gd 0.500 0.000 0.864
Gd 0.000 0.500 0.136
Pd 0.000 0.000 0.500
Pd 0.500 0.500 0.500